Density functional theory data (PBE) for RbSiPd after structural relaxation.

- distance to the lowest polymorph of the same formula (eV/atom) = 0.736

a b c (Å): 7.1600 7.1600 7.1600
angles (deg): 90.00 90.00 90.00
Space group F-43m (No. 216)
One atom of each set of equivalent atoms:
Rb 0.0000 0.0000 0.0000 [4 per cell]
Si 0.2500 0.2500 0.2500 [4 per cell]
Pd 0.2500 0.2500 0.7500 [4 per cell]